First-principles (PBE) data for crystalline CaGa4Pd2 at its relaxed geometry, as listed in Alexandria via LeMat-Bulk.

Calculated values
Theoretical density = 5.38 g cm⁻³
Energy above the most stable polymorph in this dataset = 306.0 meV/atom
Calculated formation energy = -0.2848 eV per atom

a = 6.0740 Å, b = 6.0740 Å, c = 6.0740 Å
α = 102.81°, β = 102.81°, γ = 123.83°
Positions (direct):
Ga 0.5000 0.2609 0.7609
Ga 0.5000 0.7391 0.2391
Ga 0.2609 0.5000 0.7609
Ga 0.7391 0.5000 0.2391
Ca 0.0000 0.0000 0.0000
Pd 0.7500 0.2500 0.5000
Pd 0.2500 0.7500 0.5000

First-principles (PBE) data for crystalline BiAsC at its relaxed geometry, as listed in Alexandria via LeMat-Bulk.

Calculated values
Theoretical density = 6.81 g cm⁻³
Energy above the most stable polymorph in this dataset = 99.5 meV/atom
Calculated formation energy = 0.6084 eV per atom

a = 4.6983 Å, b = 5.4950 Å, c = 6.3576 Å
α = 106.10°, β = 108.46°, γ = 98.83°
Positions (direct):
As 0.2574 0.2396 0.8776
As 0.6412 0.0161 0.3673
C 0.0428 0.2999 0.5753
C 0.0992 0.5047 0.5064
Bi 0.5519 0.8495 0.7286
Bi 0.8699 0.5947 0.1637

First-principles (PBE) data for crystalline Sr2PaAgSe5 at its relaxed geometry, as listed in Alexandria via LeMat-Bulk.

Calculated values
Theoretical density = 5.85 g cm⁻³
Energy relative to the elements, uncorrected = -1.447 eV/atom

a = 4.2854 Å, b = 9.3407 Å, c = 13.2488 Å
α = 90.00°, β = 90.00°, γ = 103.26°
Positions (direct):
Se 0.0659 0.1318 0.0600
Se 0.7227 0.4453 0.1632
Se 0.6366 0.2731 0.5021
Se 0.7110 0.4220 0.8800
Se 0.2773 0.5547 0.6632
Se 0.4994 0.9987 0.7698
Se 0.5006 0.0013 0.2698
Se 0.9341 0.8682 0.5600
Se 0.3634 0.7269 0.0021
Se 0.2890 0.5780 0.3800
Ag 0.4317 0.8634 0.4416
Ag 0.5683 0.1366 0.9416
Sr 0.9050 0.8099 0.1708
Sr 0.1158 0.2316 0.3157
Sr 0.0950 0.1901 0.6708
Sr 0.8842 0.7684 0.8157
Pa 0.7884 0.5767 0.5208
Pa 0.2116 0.4233 0.0208

First-principles (PBE) data for crystalline Ba2LaTa at its relaxed geometry, as listed in Alexandria via LeMat-Bulk.

Calculated values
Theoretical density = 7.01 g cm⁻³
Energy above the most stable polymorph in this dataset = 336.1 meV/atom
Calculated formation energy = 0.9427 eV per atom

a = 5.7406 Å, b = 3.5183 Å, c = 7.5082 Å
α = 68.28°, β = 90.00°, γ = 90.00°
Positions (direct):
Ba 0.0000 0.9445 0.9862
Ba 0.0000 0.5555 0.5138
La 0.5000 0.2500 0.2500
Ta 0.5000 0.7500 0.7500

First-principles (PBE) data for crystalline K2RbScBr6 at its relaxed geometry, as listed in Alexandria via LeMat-Bulk.

Calculated values
Theoretical density = 2.91 g cm⁻³
Energy above the most stable polymorph in this dataset = 0.0 meV/atom
Energy relative to the elements, uncorrected = -1.739 eV/atom

a = 8.0661 Å, b = 8.0667 Å, c = 8.3733 Å
α = 61.20°, β = 61.20°, γ = 59.99°
Positions (direct):
Rb 0.8149 0.8150 0.5551
Br 0.2182 0.9964 0.2385
Br 0.1303 0.4187 0.7910
Br 0.4187 0.6599 0.7910
Br 0.5469 0.2183 0.2384
Br 0.9963 0.5470 0.2384
Br 0.6600 0.1302 0.7911
Sc 0.3249 0.3249 0.0251
K 0.5313 0.5313 0.4061
K 0.0200 0.0199 0.9403

First-principles (PBE) data for crystalline NaIr2S at its relaxed geometry, as listed in Alexandria via LeMat-Bulk.

Calculated values
Theoretical density = 10.24 g cm⁻³
Energy relative to the elements, uncorrected = 0.315 eV/atom

a = 7.2239 Å, b = 7.2239 Å, c = 5.7929 Å
α = 51.43°, β = 51.43°, γ = 90.00°
Positions (direct):
Ir 0.3750 0.2717 0.7500
Ir 0.7283 0.1250 0.2500
Ir 0.0217 0.6250 0.2500
Ir 0.8750 0.9783 0.7500
S 0.7500 0.2500 0.5000
S 0.0000 0.0000 0.0000
Na 0.2500 0.7500 0.5000
Na 0.5000 0.5000 0.0000

First-principles (PBE) data for crystalline NaHBr2Cl at its relaxed geometry, as listed in Alexandria via LeMat-Bulk.

Calculated values
Theoretical density = 2.49 g cm⁻³
E = -2.285 eV/atom

a = 4.1713 Å, b = 8.4205 Å, c = 4.1713 Å
α = 90.00°, β = 90.00°, γ = 90.00°
Positions (direct):
Br 0.0000 0.0000 0.5000
Br 0.5000 0.0000 0.0000
H 0.0000 0.0000 0.0000
Cl 0.5000 0.5000 0.5000
Na 0.0000 0.5000 0.0000

First-principles (PBE) data for crystalline AgPt2 at its relaxed geometry, as listed in Alexandria via LeMat-Bulk.

Calculated values
Theoretical density = 16.96 g cm⁻³
Energy above the most stable polymorph in this dataset = 45.7 meV/atom
Calculated formation energy = 0.0381 eV per atom

a = 8.6315 Å, b = 4.9114 Å, c = 4.8951 Å
α = 80.50°, β = 72.68°, γ = 84.22°
Positions (direct):
Pt 0.2495 0.7516 0.2567
Pt 0.1764 0.5009 0.8354
Pt 0.6565 0.0101 0.3293
Pt 0.0907 0.2565 0.4135
Pt 0.3333 0.9986 0.6673
Pt 0.4994 0.4975 0.5040
Pt 0.4140 0.2462 0.0869
Pt 0.7467 0.2416 0.7447
Ag 0.9172 0.7489 0.5815
Ag 0.8345 0.4995 0.1667
Ag 0.9978 0.0049 0.9987
Ag 0.5841 0.7437 0.9153